First-principles (PBE) data for a relaxed structure of NdGdNi2Ge4, as listed in the Open Quantum Materials Database.

Unit cell a=4.2021 b=4.2231 c=8.6345 alpha=90.00 beta=103.88 gamma=90.00
Closest atoms and distances in Å follow each position.
Atoms (fractional coordinates):
1 Gd 0.8842 0.0000 0.7821  10 Ge 3.14-3.34, 4 Ni 3.16-3.26
2 Ge 0.5558 0.0000 0.0823  1 Ni 2.34, 2 Ge 2.54
3 Ge 0.7601 0.5000 0.5005  4 Ni 2.40-2.41
4 Ge 0.2444 0.0000 0.5030  4 Ni 2.40-2.42
5 Ge 0.4382 0.5000 0.9147  1 Ni 2.31, 2 Ge 2.54
6 Nd 0.1129 0.5000 0.2159  10 Ge 3.16-3.36, 4 Ni 3.19-3.25
7 Ni 0.6735 0.0000 0.3617  5 Ge 2.34-2.42
8 Ni 0.3309 0.5000 0.6398  5 Ge 2.31-2.41

Calculated values
**Uncorrected energy**: -5.61 eV/atom


First-principles (PBE) data for a relaxed structure of NdGdGe2Pd4, as listed in the Open Quantum Materials Database.

Unit cell a=4.4299 b=4.4299 c=9.2197 alpha=90.00 beta=90.00 gamma=120.00
Closest atoms and distances in Å follow each position.
Atoms (fractional coordinates):
1 Gd 0.0000 0.0000 0.0000  8 Pd 2.98-2.99
2 Ge 0.6667 0.3333 0.2449  6 Pd 2.66
3 Ge 0.6667 0.3333 0.7551  6 Pd 2.66
4 Nd 0.3333 0.6667 0.5000  8 Pd 3.03-3.07
5 Pd 0.3333 0.6667 0.1669  3 Ge 2.66, 3 Pd 2.94
6 Pd 0.0000 0.0000 0.3247  3 Ge 2.66, 3 Pd 2.94
7 Pd 0.0000 0.0000 0.6753  3 Ge 2.66, 3 Pd 2.94
8 Pd 0.3333 0.6667 0.8331  3 Ge 2.66, 3 Pd 2.94

Calculated values
**Uncorrected energy**: -5.73 eV/atom


First-principles (PBE) data for a relaxed structure of NdGd2Ge3PdPt2, as listed in the Open Quantum Materials Database.

Unit cell a=3.9741 b=7.3229 c=7.3229 alpha=120.27 beta=90.00 gamma=90.00
Closest atoms and distances in Å follow each position.
Atoms (fractional coordinates):
1 Gd 0.0000 0.9994 0.4073  4 Pt 2.96, 1 Pd 2.97, 6 Ge 3.18-3.28
2 Gd 0.0000 0.4073 0.9994  4 Pt 2.96, 1 Pd 2.97, 6 Ge 3.18-3.28
3 Ge 0.5000 0.7485 0.0023  2 Pd 2.73, 2 Pt 2.73-2.80
4 Ge 0.5000 0.2507 0.2507  2 Pd 2.68, 2 Pt 2.82
5 Ge 0.5000 0.0023 0.7485  2 Pd 2.73, 2 Pt 2.73-2.80
6 Nd 0.0000 0.5906 0.5906  4 Pt 3.01, 1 Pd 3.02, 6 Ge 3.18-3.30
7 Pd 0.0000 0.0046 0.0046  6 Ge 2.68-2.73, 2 Gd 2.97
8 Pt 0.5000 0.6686 0.3280  3 Ge 2.73-2.82, 4 Gd 2.96, 2 Nd 3.01
9 Pt 0.5000 0.3280 0.6686  3 Ge 2.73-2.82, 4 Gd 2.96, 2 Nd 3.01

Calculated values
**Uncorrected energy**: -6.01 eV/atom


First-principles (PBE) data for a relaxed structure of PrNdGd2Zn12Ge6, as listed in the Open Quantum Materials Database.

Unit cell a=7.6336 b=4.0851 c=13.2247 alpha=90.00 beta=90.00 gamma=90.00
Closest atoms and distances in Å follow each position.
Atoms (fractional coordinates):
1 Gd 0.4999 0.0000 0.1667  6 Ge 3.13-3.14, 9 Zn 3.24-3.41
2 Gd 0.0000 0.0000 0.3333  6 Ge 3.13-3.14, 9 Zn 3.24-3.41
3 Ge 0.3815 0.5000 0.0006  5 Zn 2.51-2.64
4 Ge 0.8089 0.5000 0.1910  5 Zn 2.50-2.64
5 Ge 0.3089 0.5000 0.3090  5 Zn 2.50-2.64
6 Ge 0.8817 0.5000 0.4995  5 Zn 2.51-2.64
7 Ge 0.3093 0.5000 0.6905  5 Zn 2.51-2.63
8 Ge 0.8097 0.5000 0.8094  5 Zn 2.51-2.64
9 Nd 0.0000 0.0000 0.6666  6 Ge 3.14, 9 Zn 3.24-3.41
10 Pr 0.5000 0.0000 0.8334  6 Ge 3.14, 9 Zn 3.24-3.41
11 Zn 0.7100 0.5000 0.0002  3 Ge 2.51-2.64
12 Zn 0.1890 0.0000 0.0002  2 Zn 2.50, 2 Ge 2.52
13 Zn 0.9054 0.0000 0.0946  2 Zn 2.50, 2 Ge 2.52
14 Zn 0.1452 0.5000 0.1451  3 Ge 2.50-2.64
15 Zn 0.6452 0.5000 0.3549  3 Ge 2.50-2.64
16 Zn 0.4054 0.0000 0.4054  2 Zn 2.50, 2 Ge 2.52
17 Zn 0.2099 0.5000 0.4999  3 Ge 2.51-2.64
18 Zn 0.6890 0.0000 0.4999  2 Zn 2.50, 2 Ge 2.52
19 Zn 0.4056 0.0000 0.5944  2 Zn 2.50, 2 Ge 2.52
20 Zn 0.6450 0.5000 0.6449  3 Ge 2.51-2.64
21 Zn 0.1448 0.5000 0.8551  3 Ge 2.51-2.64
22 Zn 0.9057 0.0000 0.9056  2 Zn 2.50, 2 Ge 2.52

Calculated values
**Uncorrected energy**: -3.21 eV/atom


First-principles (PBE) data for a relaxed structure of PrNd2GdZn12Ge6, as listed in the Open Quantum Materials Database.

Unit cell a=7.6538 b=4.0875 c=13.2609 alpha=90.00 beta=90.00 gamma=90.00
Closest atoms and distances in Å follow each position.
Atoms (fractional coordinates):
1 Gd 0.0001 0.0000 0.6665  6 Ge 3.11-3.12, 9 Zn 3.23-3.43
2 Ge 0.3832 0.5000 0.0004  5 Zn 2.53-2.65
3 Ge 0.8084 0.5000 0.1917  5 Zn 2.52-2.65
4 Ge 0.3084 0.5000 0.3087  5 Zn 2.52-2.65
5 Ge 0.8842 0.5000 0.5022  5 Zn 2.51-2.66
6 Ge 0.3039 0.5000 0.6906  5 Zn 2.51-2.67
7 Ge 0.8116 0.5000 0.8064  5 Zn 2.51-2.67
8 Nd 0.4998 0.0000 0.1669  6 Ge 3.14, 9 Zn 3.24-3.43
9 Nd 0.0001 0.0000 0.3340  6 Ge 3.14-3.15, 9 Zn 3.25-3.42
10 Pr 0.4997 0.0000 0.8326  6 Ge 3.15-3.16, 9 Zn 3.25-3.42
11 Zn 0.1894 0.0000 0.0004  2 Zn 2.51, 2 Ge 2.53
12 Zn 0.9051 0.0000 0.0942  2 Zn 2.51-2.52, 2 Ge 2.53
13 Zn 0.1434 0.5000 0.1441  3 Ge 2.52-2.65, 4 Zn 2.82
14 Zn 0.6447 0.5000 0.3570  3 Ge 2.52-2.66, 4 Zn 2.81-2.82
15 Zn 0.4062 0.0000 0.4055  2 Zn 2.50-2.52, 2 Ge 2.53
16 Zn 0.2120 0.5000 0.5000  3 Ge 2.51-2.64, 2 Zn 2.80
17 Zn 0.6897 0.0000 0.5014  4 Zn 2.52-2.81, 2 Ge 2.53
18 Zn 0.4027 0.0000 0.5942  2 Zn 2.50-2.52, 2 Ge 2.53
19 Zn 0.6430 0.5000 0.6438  3 Ge 2.51-2.67, 2 Zn 2.81
20 Zn 0.1439 0.5000 0.8559  3 Ge 2.51-2.65, 2 Zn 2.81
21 Zn 0.9071 0.0000 0.9042  4 Zn 2.51-2.81, 2 Ge 2.53
22 Zn 0.7133 0.5000 0.9992  3 Ge 2.53-2.67, 4 Zn 2.81-2.82

Calculated values
**Uncorrected energy**: -3.23 eV/atom


First-principles (PBE) data for a relaxed structure of PrNdGd2Zn12Ge6, as listed in the Open Quantum Materials Database.

Unit cell a=7.6440 b=4.0731 c=13.2441 alpha=90.00 beta=90.01 gamma=90.00
Closest atoms and distances in Å follow each position.
Atoms (fractional coordinates):
1 Gd 0.5001 0.0000 0.1669  6 Ge 3.11, 9 Zn 3.23-3.42
2 Gd 0.0000 0.0000 0.6665  6 Ge 3.11, 9 Zn 3.23-3.42
3 Ge 0.6157 0.5000 0.0027  5 Zn 2.51-2.67
4 Ge 0.1953 0.5000 0.1913  5 Zn 2.50-2.66
5 Ge 0.6894 0.5000 0.3068  5 Zn 2.50-2.66
6 Ge 0.1155 0.5000 0.5019  5 Zn 2.50-2.66
7 Ge 0.6960 0.5000 0.6907  5 Zn 2.51-2.67
8 Ge 0.1882 0.5000 0.8066  5 Zn 2.51-2.67
9 Nd 0.0000 0.0000 0.3333  6 Ge 3.15, 9 Zn 3.25-3.41
10 Pr 0.5001 0.0000 0.8333  6 Ge 3.16, 9 Zn 3.25-3.41
11 Zn 0.2878 0.5000 0.0000  3 Ge 2.51-2.67, 2 Zn 2.80
12 Zn 0.8103 0.0000 0.0016  4 Zn 2.51-2.80, 2 Ge 2.52
13 Zn 0.0969 0.0000 0.0943  4 Zn 2.51-2.80, 2 Ge 2.52
14 Zn 0.8567 0.5000 0.1443  3 Ge 2.50-2.66, 2 Zn 2.80
15 Zn 0.3557 0.5000 0.3561  3 Ge 2.50-2.66, 2 Zn 2.80
16 Zn 0.5931 0.0000 0.4044  4 Zn 2.51-2.80, 2 Ge 2.52
17 Zn 0.7881 0.5000 0.4995  3 Ge 2.50-2.66, 2 Zn 2.80
18 Zn 0.3102 0.0000 0.5012  4 Zn 2.51-2.80, 2 Ge 2.52
19 Zn 0.5970 0.0000 0.5939  4 Zn 2.51-2.80, 2 Ge 2.52
20 Zn 0.3562 0.5000 0.6439  3 Ge 2.51-2.67, 2 Zn 2.80
21 Zn 0.8556 0.5000 0.8562  3 Ge 2.51-2.67, 2 Zn 2.80
22 Zn 0.0924 0.0000 0.9045  4 Zn 2.51-2.80, 2 Ge 2.52

Calculated values
**Uncorrected energy**: -3.22 eV/atom


First-principles (PBE) data for a relaxed structure of PrNd2GdZn12Ge6, as listed in the Open Quantum Materials Database.

Unit cell a=7.6584 b=4.0934 c=13.2689 alpha=90.00 beta=90.00 gamma=90.00
Closest atoms and distances in Å follow each position.
Atoms (fractional coordinates):
1 Gd 0.0000 0.0000 0.3333  6 Ge 3.13, 9 Zn 3.24-3.42
2 Ge 0.6181 0.5000 0.0006  5 Zn 2.52-2.65
3 Ge 0.1895 0.5000 0.1925  5 Zn 2.51-2.66
4 Ge 0.6940 0.5000 0.3091  5 Zn 2.51-2.67
5 Ge 0.1167 0.5000 0.4984  5 Zn 2.51-2.66
6 Ge 0.6916 0.5000 0.6906  5 Zn 2.52-2.65
7 Ge 0.1901 0.5000 0.8088  5 Zn 2.52-2.65
8 Nd 0.5003 0.0000 0.1670  6 Ge 3.14-3.16, 9 Zn 3.25-3.42
9 Nd 0.9998 0.0000 0.6663  6 Ge 3.14-3.16, 9 Zn 3.25-3.42
10 Pr 0.5001 0.0000 0.8334  6 Ge 3.15, 9 Zn 3.25-3.42
11 Zn 0.8110 0.0000 0.0002  2 Zn 2.51, 2 Ge 2.52
12 Zn 0.2887 0.5000 0.0004  3 Ge 2.52-2.66
13 Zn 0.0941 0.0000 0.0953  2 Zn 2.51-2.52, 2 Ge 2.53
14 Zn 0.8559 0.5000 0.1450  3 Ge 2.51-2.64
15 Zn 0.3550 0.5000 0.3554  3 Ge 2.51-2.67
16 Zn 0.5960 0.0000 0.4054  2 Zn 2.51-2.52, 2 Ge 2.53
17 Zn 0.3103 0.0000 0.4993  2 Zn 2.51-2.52, 2 Ge 2.53
18 Zn 0.7895 0.5000 0.4995  3 Ge 2.51-2.64
19 Zn 0.5945 0.0000 0.5942  2 Zn 2.51, 2 Ge 2.52
20 Zn 0.3551 0.5000 0.6442  3 Ge 2.52-2.66, 2 Zn 2.83
21 Zn 0.8557 0.5000 0.8555  3 Ge 2.52-2.65, 2 Zn 2.82
22 Zn 0.0940 0.0000 0.9056  2 Zn 2.51-2.52, 2 Ge 2.53

Calculated values
**Uncorrected energy**: -3.23 eV/atom


First-principles (PBE) data for a relaxed structure of PrNdGd2Zn12Ge6, as listed in the Open Quantum Materials Database.

Unit cell a=7.6413 b=4.0729 c=13.2420 alpha=90.00 beta=90.00 gamma=90.00
Closest atoms and distances in Å follow each position.
Atoms (fractional coordinates):
1 Gd 0.0003 0.0000 0.3340  6 Ge 3.11-3.12, 9 Zn 3.22-3.42
2 Gd 0.0003 0.0000 0.6657  6 Ge 3.10-3.12, 9 Zn 3.22-3.42
3 Ge 0.3844 0.5000 0.0009  5 Zn 2.52-2.65
4 Ge 0.8103 0.5000 0.1941  5 Zn 2.51-2.67
5 Ge 0.3041 0.5000 0.3087  5 Zn 2.50-2.67
6 Ge 0.8858 0.5000 0.4998  5 Zn 2.49-2.65
7 Ge 0.3034 0.5000 0.6906  5 Zn 2.51-2.67
8 Ge 0.8116 0.5000 0.8058  5 Zn 2.51-2.68
9 Nd 0.4997 0.0000 0.1678  6 Ge 3.13-3.15, 9 Zn 3.23-3.43
10 Pr 0.4998 0.0000 0.8325  6 Ge 3.15, 9 Zn 3.24-3.43
11 Zn 0.7147 0.5000 0.0001  3 Ge 2.52-2.68, 4 Zn 2.81
12 Zn 0.1897 0.0000 0.0005  2 Zn 2.51, 2 Ge 2.52
13 Zn 0.9060 0.0000 0.0955  6 Zn 2.51-2.81, 2 Ge 2.53
14 Zn 0.1429 0.5000 0.1441  3 Ge 2.50-2.65, 2 Zn 2.80
15 Zn 0.6433 0.5000 0.3572  3 Ge 2.51-2.67, 2 Zn 2.80
16 Zn 0.4038 0.0000 0.4054  2 Zn 2.50-2.52, 2 Ge 2.52
17 Zn 0.2121 0.5000 0.4996  3 Ge 2.49-2.62
18 Zn 0.6901 0.0000 0.5000  6 Zn 2.52-2.80, 2 Ge 2.53
19 Zn 0.4034 0.0000 0.5941  2 Zn 2.50-2.52, 2 Ge 2.52
20 Zn 0.6434 0.5000 0.6426  3 Ge 2.51-2.67, 4 Zn 2.80-2.81
21 Zn 0.1437 0.5000 0.8563  3 Ge 2.51-2.65, 2 Zn 2.80
22 Zn 0.9072 0.0000 0.9045  4 Zn 2.51-2.80, 2 Ge 2.53

Calculated values
**Uncorrected energy**: -3.22 eV/atom